[1]
4
Lattice="3.209 0.000 0.000 1.604 2.779 0.000 1.604 0.926 9.923" Properties=species:S:1:pos:R:3 comment="Zr2PaZn (PBE, optimized geometry)" magnetic_moment_mub_per_cell=0.0 relative_energy_ev_per_atom=0.004 formation_energy_ev_per_atom=-0.0280 spacegroup="R3m, No. 160" pbc="T T T"
Zr 1.604 0.926 2.286
Zr 1.604 0.926 7.632
Zn 3.209 1.852 0.001
Pa 3.209 1.852 4.967

---

[2]
15
Lattice="7.601 0.000 0.000 -3.800 6.496 -0.063 0.000 -4.347 6.394" Properties=species:S:1:pos:R:3 comment="K3Ac3TlO8 (PBE, optimized geometry)" magnetic_moment_mub_per_cell=1.2 spacegroup="C2/m, No. 12" e_form_raw_ev_per_atom=-2.098 pbc="T T T"
O 1.817 -1.130 1.982
O 3.800 2.343 1.972
O -1.984 3.279 4.349
O 3.800 0.004 4.401
O 5.784 -1.130 1.982
O 1.984 3.279 4.349
O 0.000 -0.194 4.360
O 0.000 2.145 1.930
Tl 0.000 -2.173 3.197
K 0.000 0.000 0.000
K -1.900 3.248 -0.031
K 1.900 3.248 -0.031
Ac 1.900 1.074 3.166
Ac -1.900 1.074 3.166
Ac 3.800 -2.173 3.197

---

[3]
7
Lattice="-1.798 3.841 -0.866 -3.871 -1.550 1.163 -1.663 3.186 6.768" Properties=species:S:1:pos:R:3 comment="Hf2Ga4Ni (PBE, optimized geometry)" magnetic_moment_mub_per_cell=0.0 formation_energy_ev_per_atom=0.0333 spacegroup="I4/mmm, No. 139" pbc="T T T"
Ga -5.276 2.975 2.517
Ga -1.935 -0.775 0.581
Ga -0.899 1.920 -0.433
Ga -2.056 2.502 4.548
Hf -2.497 1.734 2.057
Hf -4.835 3.743 5.008
Ni 0.000 0.000 0.000

---

[4]
6
Lattice="4.744 0.000 0.001 0.000 4.745 0.002 -0.003 -0.006 6.628" Properties=species:S:1:pos:R:3 comment="CuSn4Au (PBE, optimized geometry)" magnetic_moment_mub_per_cell=0.0 relative_energy_ev_per_atom=0.000 formation_energy_ev_per_atom=-0.0675 spacegroup="P4/mmm, No. 123" pbc="T T T"
Au 2.375 2.354 6.617
Sn 0.005 2.357 4.889
Sn 0.004 2.357 1.716
Sn 2.377 4.728 1.717
Sn 2.376 4.730 4.891
Cu 0.004 4.729 3.303

---

[5]
4
Lattice="4.215 0.000 0.000 2.108 3.650 0.000 2.108 1.217 9.450" Properties=species:S:1:pos:R:3 comment="CaPr2Ir (PBE, optimized geometry)" magnetic_moment_mub_per_cell=0.0 relative_energy_ev_per_atom=0.037 formation_energy_ev_per_atom=-0.3334 spacegroup="R3m, No. 160" pbc="T T T"
Pr 2.108 1.217 7.960
Pr 2.108 1.217 1.519
Ca 4.215 2.434 4.681
Ir 4.215 2.434 0.016

---

[6]
4
Lattice="5.333 0.000 0.000 2.666 4.618 0.000 2.666 1.539 4.354" Properties=species:S:1:pos:R:3 comment="NdGdTeBr (PBE, optimized geometry)" magnetic_moment_mub_per_cell=7.4 spacegroup="F-43m, No. 216" e_form_raw_ev_per_atom=-1.182 pbc="T T T"
Te 7.999 4.618 3.266
Br 2.666 1.539 1.089
Gd 5.333 3.079 2.177
Nd 0.000 0.000 0.000

---

[7]
4
Lattice="-4.751 0.378 -0.178 -2.723 -2.893 2.639 -2.396 1.736 3.741" Properties=species:S:1:pos:R:3 comment="SmCuPtAu (PBE, optimized geometry)" magnetic_moment_mub_per_cell=0.0 formation_energy_ev_per_atom=-0.5104 spacegroup="F-43m, No. 216" pbc="T T T"
Cu -2.468 -0.194 1.550
Au -4.935 -0.389 3.101
Pt -7.403 -0.583 4.651
Sm 0.000 0.000 0.000

---

[8]
10
Lattice="-0.879 5.329 -0.537 -4.965 -1.756 -1.315 1.845 -1.581 4.719" Properties=species:S:1:pos:R:3 comment="Ag2H6PtAu (PBE, optimized geometry)" magnetic_moment_mub_per_cell=0.0 spacegroup="C2/m, No. 12" energy_ev_per_cell=-34.03 pbc="T T T"
H -3.216 1.713 1.271
H -0.204 -0.080 1.779
H -1.970 -2.023 3.659
H 0.711 -0.888 4.331
H -4.130 2.520 -1.281
H 0.395 2.075 4.109
Ag -4.192 -0.062 0.867
Ag -2.150 3.481 1.256
Au -0.787 0.026 3.884
Pt -3.709 1.812 2.958

---

[9]
19
Lattice="-4.576 -2.316 -1.642 2.353 -2.318 5.542 -3.888 6.213 2.073" Properties=species:S:1:pos:R:3 comment="Na5Re2H12 (PBE, optimized geometry)" magnetic_moment_mub_per_cell=1.8 spacegroup="C2/m, No. 12" energy_ev_per_cell=-69.41 pbc="T T T"
Na -3.680 -0.192 1.697
Na -2.431 1.772 4.277
Na -5.466 2.540 2.822
Na -1.944 3.106 1.037
Na -0.645 -0.960 3.152
H -2.603 3.834 5.583
H -2.889 -3.504 4.163
H -0.541 -2.475 4.999
H -3.222 5.083 1.810
H -5.570 4.055 0.974
H -1.572 -1.275 1.085
H -3.384 1.942 2.252
H -0.452 0.788 4.538
H -4.539 2.854 4.889
H -3.508 -2.255 0.390
H -2.727 -0.363 3.722
H -5.659 0.791 1.435
Re -1.026 -0.519 -0.368
Re -3.551 -1.797 -1.274

---

[10]
30
Lattice="0.032 2.686 -4.449 2.292 -2.054 -4.188 -17.701 -8.737 -5.400" Properties=species:S:1:pos:R:3 comment="Li12PtRh2 (PBE, optimized geometry)" magnetic_moment_mub_per_cell=1.1 formation_energy_ev_per_atom=-0.0924 spacegroup="Cmme, No. 67" pbc="T T T"
Li -2.215 -1.351 -5.349
Li -13.858 -7.224 -11.238
Li -8.971 -3.265 -8.089
Li -13.162 -6.754 -8.689
Li -14.324 -7.070 -4.370
Li 0.690 -1.382 -4.603
Li -4.600 -2.570 -8.407
Li -9.616 -5.219 -9.950
Li -8.232 -5.741 -6.506
Li -7.536 -2.470 -6.079
Li -10.844 -5.395 -5.639
Li -14.938 -9.092 -9.305
Li -1.521 -0.877 -2.800
Li -12.328 -6.085 -3.761
Li -11.166 -5.769 -8.080
Li -0.456 0.983 -4.672
Li -4.211 -2.336 -5.958
Li -5.373 -2.652 -1.639
Li -3.377 -1.667 -1.030
Li -5.695 -3.026 -4.080
Li -15.018 -7.544 -6.919
Li -16.051 -6.718 -9.496
Li -0.357 -0.565 -7.119
Li -6.015 -4.734 -7.402
Rh -12.283 -7.655 -6.191
Rh -13.424 -5.291 -6.325
Rh -4.256 -0.766 -3.528
Rh -3.115 -3.130 -3.394
Pt 1.090 -1.054 -2.111
Pt -17.629 -7.366 -7.608

---

[11]
4
Lattice="-0.897 3.227 0.276 -1.948 -0.308 -2.722 -4.849 -1.661 3.658" Properties=species:S:1:pos:R:3 comment="Al2TlRu (PBE, optimized geometry)" magnetic_moment_mub_per_cell=0.0 relative_energy_ev_per_atom=0.264 formation_energy_ev_per_atom=0.0266 spacegroup="P4mm, No. 99" pbc="T T T"
Ru -2.086 -0.715 1.574
Tl -5.050 0.217 1.514
Al -0.180 -0.062 0.136
Al -2.802 0.987 -0.182

---

[12]
8
Lattice="-11.949 -2.132 -5.527 5.893 -3.022 -11.576 -2.923 -4.816 -7.914" Properties=species:S:1:pos:R:3 comment="Rb2SiAu (PBE, optimized geometry)" magnetic_moment_mub_per_cell=0.0 spacegroup="I-42d, No. 122" e_form_raw_ev_per_atom=-0.061 pbc="T T T"
Au 0.000 0.000 0.000
Au -8.950 -4.762 -10.996
Rb -9.952 -3.358 -8.031
Rb -5.691 -4.915 -9.937
Rb -8.000 -5.047 -14.279
Rb -12.156 -5.729 -11.736
Si -0.029 -5.207 -14.020
Si -3.028 -2.577 -8.551

---

[13]
10
Lattice="-1.745 4.290 -1.113 -2.138 -1.863 -3.828 -9.327 -2.169 6.265" Properties=species:S:1:pos:R:3 comment="Ac2CdIn3Ag4 (PBE, optimized geometry)" magnetic_moment_mub_per_cell=0.0 formation_energy_ev_per_atom=-0.2923 spacegroup="P-4m2, No. 115" pbc="T T T"
In -2.268 -1.210 -1.108
In -9.000 0.255 4.903
In -4.663 -1.084 3.132
Ag -6.792 0.769 3.420
Ag -1.942 1.214 -2.470
Ag -4.477 -1.724 0.375
Ag 0.000 0.000 0.000
Cd -6.605 0.130 0.662
Ac -8.117 -2.570 2.820
Ac -3.152 1.615 0.974

---

[14]
4
Lattice="4.962 -0.025 0.000 1.299 4.789 0.000 -3.131 -2.382 3.025" Properties=species:S:1:pos:R:3 comment="CdTcAu2 (PBE, optimized geometry)" magnetic_moment_mub_per_cell=2.6 formation_energy_ev_per_atom=0.3318 spacegroup="I-4m2, No. 119" pbc="T T T"
Tc 2.481 -0.013 1.512
Au 0.649 2.395 1.512
Au 0.000 0.000 0.000
Cd 3.131 2.382 0.000

---

[15]
4
Lattice="7.685 -0.003 -0.002 6.610 3.919 -0.002 6.610 1.811 3.476" Properties=species:S:1:pos:R:3 comment="LaYSi2 (PBE, optimized geometry)" magnetic_moment_mub_per_cell=0.0 relative_energy_ev_per_atom=0.296 spacegroup="R3m, No. 160" e_form_raw_ev_per_atom=-0.471 pbc="T T T"
Si 6.071 1.663 1.008
Si 19.974 5.472 3.317
La 14.989 4.106 2.489
Y 11.228 3.076 1.865

---

[16]
10
Lattice="-0.606 -0.513 4.621 3.396 -3.232 0.086 7.779 8.226 1.934" Properties=species:S:1:pos:R:3 comment="Na2Sb4PdAu3 (PBE, optimized geometry)" magnetic_moment_mub_per_cell=0.0 spacegroup="P-4m2, No. 115" e_form_raw_ev_per_atom=-0.257 pbc="T T T"
Sb 0.000 0.000 0.000
Sb 4.557 4.882 3.518
Sb 4.617 1.472 0.769
Sb 1.395 -1.872 2.353
Au 3.890 4.113 0.967
Au 6.362 6.791 3.967
Au 2.813 -0.437 0.320
Na 7.318 4.327 1.440
Na 1.856 2.026 2.847
Pd 5.285 2.241 3.320

---

[17]
24
Lattice="-5.420 5.422 0.606 -3.396 -4.021 5.607 9.345 3.560 2.939" Properties=species:S:1:pos:R:3 comment="Cd2Ag3Au (PBE, optimized geometry)" magnetic_moment_mub_per_cell=0.0 relative_energy_ev_per_atom=0.099 formation_energy_ev_per_atom=0.0296 spacegroup="I4_1/amd, No. 141" pbc="T T T"
Cd -4.196 3.060 4.927
Cd -0.454 2.481 1.505
Cd 1.870 6.899 3.808
Cd 0.407 5.166 6.224
Cd -1.860 0.723 4.666
Cd 2.825 2.203 5.563
Cd 4.288 3.936 3.147
Cd -2.790 4.818 1.766
Ag -1.313 -1.951 5.717
Ag 0.156 2.986 4.308
Ag -4.806 2.555 2.124
Ag 0.385 0.060 2.913
Ag -6.140 0.975 4.327
Ag 3.360 -0.171 7.186
Ag -2.676 0.425 1.886
Ag 1.490 4.566 2.105
Ag 0.650 2.540 7.489
Ag -0.639 6.696 2.343
Ag -1.974 5.116 4.546
Ag 5.335 2.405 7.028
Au -1.552 -1.885 2.982
Au 3.093 2.124 8.671
Au 2.323 2.005 2.845
Au -1.794 2.956 6.307

---

[18]
5
Lattice="4.151 0.000 0.000 0.000 4.151 0.000 0.000 0.000 4.151" Properties=species:S:1:pos:R:3 comment="PmHIr3 (PBE, optimized geometry)" magnetic_moment_mub_per_cell=0.0 spacegroup="Pm-3m, No. 221" energy_ev_per_cell=-35.70 pbc="T T T"
Ir 0.000 0.000 2.075
Ir 2.075 0.000 0.000
Ir 0.000 2.075 0.000
Pm 2.075 2.075 2.075
H 0.000 0.000 0.000